# 1
The following is a DFT calculation (PBE) of LaMgSeN2 after structural relaxation.

Cell lengths 4.2554, 4.2554, 4.9541 Å; angles 90.00, 90.00, 90.00 degrees
Last column: nearest neighbours and their distance in Å.
Sites, in units of the cell vectors:
La (0.0000, 0.0000, 0.0000)  4 Se 3.01, 8 N 3.27
Mg (0.5000, 0.5000, 0.5000)  4 N 2.13
Se (0.5000, 0.5000, 0.0000)  2 Mg 2.48
N (0.0000, 0.5000, 0.5000)  2 Mg 2.13
N (0.5000, 0.0000, 0.5000)  2 Mg 2.13

## Properties
D(E_F): 0.55 states/eV/atom
ΔE to the lowest computed polymorph: 0.00 kcal/mol of atoms
formation energy (no corrections): 0.0268 eV per atom

# 2
The following is a DFT calculation (PBE) of LaMgSiN2 after structural relaxation.

Cell lengths 4.2427, 4.2427, 6.2657 Å; angles 90.00, 90.00, 90.00 degrees
Last column: nearest neighbours and their distance in Å.
Sites, in units of the cell vectors:
La (0.0000, 0.0000, 0.0000)  4 N 2.12
Mg (0.5000, 0.5000, 0.5000)  4 Si 3.00
Si (0.0000, 0.0000, 0.5000)  4 Mg 3.00, 2 La 3.13
N (0.0000, 0.5000, 0.0000)  2 La 2.12
N (0.5000, 0.0000, 0.0000)  2 La 2.12

## Properties
D(E_F): 0.73 states/eV/atom
formation energy (no corrections): 1.0158 eV per atom

# 3
The following is a DFT calculation (PBE) of La3MgSi2N6 after structural relaxation.

Cell lengths 5.7560, 5.7560, 6.4122 Å; angles 90.00, 90.00, 120.00 degrees
Last column: nearest neighbours and their distance in Å.
Sites, in units of the cell vectors:
La (0.0000, 0.0000, 0.0000)  6 N 2.53
La (0.3333, 0.6667, 0.6561)  1 Si 2.82, 9 N 2.84-2.90
La (0.6667, 0.3333, 0.3439)  1 Si 2.82, 9 N 2.84-2.90
Mg (0.0000, 0.0000, 0.5000)  6 N 2.17
Si (0.3333, 0.6667, 0.2161)  3 N 1.69
Si (0.6667, 0.3333, 0.7839)  3 N 1.69
N (0.1713, 0.3426, 0.2914)  1 Si 1.69
N (0.1713, 0.8287, 0.2914)  1 Si 1.69
N (0.3426, 0.1713, 0.7086)  1 Si 1.69
N (0.6574, 0.8287, 0.2914)  1 Si 1.69
N (0.8287, 0.1713, 0.7086)  1 Si 1.69
N (0.8287, 0.6574, 0.7086)  1 Si 1.69

## Properties
D(E_F): 0.26 states/eV/atom
formation energy (no corrections): -1.0110 eV per atom